First-principles (PBE) data for a relaxed Si5Pt3Au crystal, as listed in the Open Quantum Materials Database.

Cell and atoms, written as POSCAR:
```
Si5Pt3Au
1.0
-0.551 -4.890 -2.846
0.009 -0.006 5.684
-5.817 0.650 0.010
Si Au Pt
5 1 3
Direct
0.000 0.000 0.500
0.667 0.333 0.806
0.333 0.667 0.194
0.667 0.333 0.194
0.333 0.667 0.806
0.000 0.000 0.000
0.000 0.500 0.500
0.500 0.000 0.500
0.500 0.500 0.500
```

## Properties
- Magnetization: 0.00 μB per cell
- Electronic total energy: -5.35 eV per atom